(1)
## SiHgCl2 (PBE-GGA)

Data for crystalline SiHgCl2 at its relaxed geometry.

The energy above the most stable polymorph in this dataset comes out at 554 meV per atom. The value obtained for the total magnetization is 0.0 Bohr magnetons per cell. The total energy comes out at -8.85 eV per cell. As for the formation energy from raw total energies: 0.142 eV per atom.

Unit cell a=3.495 b=5.986 c=4.394 alpha=90.00 beta=90.00 gamma=90.00
Fractional positions:
Cl  0.000  0.000  0.000
Cl  0.500  0.500  0.000
Hg  0.500  0.000  0.500
Si  0.000  0.500  0.500

=====

(2)
## Li8CdRh2 (PBE-GGA)

Data for crystalline Li8CdRh2 at its relaxed geometry.

The energy above the most stable polymorph in this dataset comes out at 9 meV per atom. The value obtained for the total magnetization is 0.0 Bohr magnetons per cell. The total energy comes out at -31.39 eV per cell.

Unit cell a=4.616 b=6.981 c=7.610 alpha=62.70 beta=72.55 gamma=49.17
Fractional positions:
Li  0.759  0.091  0.295
Li  0.759  0.386  0.705
Li  0.231  0.505  0.000
Li  0.500  0.800  0.401
Li  0.500  0.200  0.599
Li  0.769  0.495  0.000
Li  0.241  0.614  0.295
Li  0.241  0.909  0.705
Cd  0.500  0.000  0.000
Rh  0.000  0.327  0.346
Rh  0.000  0.673  0.654

=====

(3)
## MnPdCl3 (PBE-GGA)

Data for crystalline MnPdCl3 at its relaxed geometry.

The energy above the most stable polymorph in this dataset comes out at 0 meV per atom. The value obtained for the total magnetization is 5.4 Bohr magnetons per cell. The total energy comes out at -20.21 eV per cell. As for the formation energy from raw total energies: -0.062 eV per atom.

Unit cell a=4.893 b=4.893 c=4.893 alpha=90.00 beta=90.00 gamma=90.00
Site moments in Bohr magnetons follow the coordinates.
Fractional positions:
Mn  0.500  0.500  0.500  4.73
Pd  0.000  0.000  0.000  -0.07
Cl  0.000  0.500  0.000  0.03
Cl  0.000  0.000  0.500  0.02
Cl  0.500  0.000  0.000  0.02

=====

(4)
## Ba2CaPt (PBE-GGA)

Data for crystalline Ba2CaPt at its relaxed geometry.

The energy above the most stable polymorph in this dataset comes out at 420 meV per atom. The value obtained for the total magnetization is 0.0 Bohr magnetons per cell. The total energy comes out at -12.34 eV per cell.

Unit cell a=5.438 b=5.438 c=4.732 alpha=90.02 beta=90.02 gamma=90.16
Fractional positions:
Ca  0.500  0.000  0.500
Ba  0.000  0.000  0.000
Ba  0.500  0.500  0.000
Pt  0.000  0.500  0.500